[1]
LiCu3SnSe4: relaxed, PBE.

Results
Total energy   -66.4 eV per cell
Excess energy over the best structure of this formula in the dataset   0.0 meV/atom
V   390.5 Å³/cell

Structure (extended XYZ):
```
18
Lattice="5.597 0.000 0.000 0.000 7.650 0.000 -2.709 0.000 9.120" Properties=species:S:1:pos:R:3 pbc="T T T"
Se -1.233 5.738 8.915
Se -1.098 1.913 5.443
Se 1.558 0.080 6.552
Se 1.558 3.745 6.552
Se 4.121 1.913 0.205
Se 3.986 5.738 3.677
Se 1.330 3.905 2.568
Se 1.330 7.570 2.568
Sn 3.288 5.738 6.435
Sn -0.401 1.913 2.685
Cu 0.044 7.132 4.767
Cu 0.222 5.738 6.991
Cu 2.844 0.518 4.353
Cu 2.844 3.307 4.353
Cu 0.044 4.343 4.767
Cu 2.666 1.913 2.130
Li 4.213 5.738 0.589
Li -1.325 1.913 8.531
```

---

[2]
Sr2TaIrN2O4: relaxed, PBE.

Results
Total energy   -155.2 eV per cell
Excess energy over the best structure of this formula in the dataset   38.4 meV/atom
Total magnetic moment   0.1 μB/f.u.
V   254.1 Å³/cell

Structure (extended XYZ):
```
20
Lattice="-2.048 4.466 2.753 0.999 -2.520 4.945 7.307 3.256 0.186" Properties=species:S:1:pos:R:3 pbc="T T T"
Sr 3.448 6.839 2.854
Sr 2.844 -1.680 4.995
Sr 4.923 3.396 3.967
Sr 1.297 1.848 3.904
N 3.564 2.090 1.948
N 3.750 0.847 4.462
N 2.766 3.114 5.887
N 2.285 -0.379 2.399
Ir -1.013 2.241 1.383
Ir 4.052 0.354 2.626
O 5.957 5.724 3.562
O -0.694 1.580 5.996
O 6.935 3.620 1.887
O 0.249 -0.516 4.339
O 5.438 2.277 6.320
O 0.829 2.961 1.605
O 2.517 4.309 3.395
O 6.045 1.116 2.798
Ta 0.529 -1.231 2.478
Ta 3.652 1.332 6.344
```

---

[3]
BeTlCuPd: relaxed, PBE.

Results
Total energy   -14.3 eV per cell
Excess energy over the best structure of this formula in the dataset   24.2 meV/atom
V   60.9 Å³/cell

Structure (extended XYZ):
```
4
Lattice="-0.880 -3.536 2.495 -3.669 -0.112 2.456 -3.311 -2.709 -1.098" Properties=species:S:1:pos:R:3 pbc="T T T"
Cu -5.895 -4.768 2.890
Tl 0.000 0.000 0.000
Pd -1.965 -1.589 0.963
Be -3.930 -3.179 1.927
```